First-principles (GGA-PBE) data for a relaxed structure of Ho3Zn3Au, as listed in Alexandria via LeMat-Bulk.

As for the crystal system: orthorhombic.

The structure belongs to space group Imm2 (No. 44); the cell edges are 3.6089, 4.4602 and 19.2668 Å and the angles 90.00°, 90.00° and 90.00°. The asymmetric unit holds Ho at (0.0000, 0.0000, 0.0000), Ho at (0.0000, 0.0000, 0.3865), Ho at (0.0000, 0.5000, 0.1967), Zn at (0.0000, 0.0000, 0.5536), Zn at (0.0000, 0.0000, 0.8389), Zn at (0.0000, 0.5000, 0.6242) and Au at (0.0000, 0.5000, 0.7593).

---

First-principles (GGA-PBE) data for a relaxed structure of TcIrOs2, as listed in Alexandria via LeMat-Bulk.

As for the crystal system: monoclinic. As for the offset from the most stable computed form: 0.14 eV/f.u.

The structure belongs to space group C2/m (No. 12); the cell edges are 8.6225, 3.8710 and 7.7206 Å and the angles 90.00°, 116.48° and 90.00°. The asymmetric unit holds Tc at (0.1260, 0.0000, 0.4385), Ir at (0.1241, 0.0000, 0.9348), Os at (0.1211, 0.5000, 0.6849) and Os at (0.1277, 0.5000, 0.1922).

---

| no. | energy of formation (eV/atom) |
| --- | --- |
| 1 | -0.450 |
| 2 | 0.023 |